VASP calculation (PBE-GGA) on crystalline Ba2Ag2Ge at its relaxed geometry.

Summary:
* DFT formation energy: -0.3365 eV per atom
* symmetry: C2/m (12)
* magnetization: 0.0 μB per formula unit
* Fermi-level density of states: 0.6035 states/eV per atom
* final energy: -3.1696 eV per atom

abc: 4.686 6.598 11.654
angles: 82.40 78.40 69.20
Fractional positions:
Ag 0.963 0.666 0.407
Ba 0.298 0.771 0.633
Ba 0.702 0.229 0.367
Ge 0.435 0.808 0.323
Ag 0.037 0.334 0.593
Ag 0.390 0.100 0.119
Ba 0.094 0.700 0.112
Ag 0.610 0.900 0.881
Ba 0.906 0.300 0.888
Ge 0.565 0.192 0.677